The following is a PBE calculation of crystalline Cs3Sr5I12 at its relaxed geometry, from the Alexandria database.

CIF file:
```
data_Cs3Sr5I12
_cell_length_a 20.999
_cell_length_b 20.999
_cell_length_c 20.999
_cell_angle_alpha 90.00
_cell_angle_beta 90.00
_cell_angle_gamma 90.00
_symmetry_space_group_name_H-M 'I a -3 d'
_symmetry_Int_Tables_number 230
_symmetry_space_group_name_Hall '-I 4bd 2c 3'
loop_
_atom_site_label
_atom_site_fract_x
_atom_site_fract_y
_atom_site_fract_z
Cs1 0.000 0.250 0.125
Sr1 0.000 0.000 0.000
Sr2 0.000 0.250 0.375
I1 0.029 0.057 0.646
```

Summary:
N(E_F)	23.6	states/eV per cell
uncorrected formation energy	-148.0	kJ per mole of atoms
volume	57.87	Å³/atom